Computed, not measured: Nb3CoPt after structural relaxation at the PBE-GGA level of DFT.

Cell and atoms, written as extended XYZ:
```
5
Lattice="-4.758 -0.377 0.868 0.700 -4.394 1.933 0.636 2.021 4.364" Properties=species:S:1:pos:R:3 pbc="T T T"
Nb 0.318 1.011 2.182
Nb 0.350 -2.197 0.966
Nb -2.379 -0.188 0.434
Co -1.711 -1.375 3.583
Pt 0.000 0.000 0.000
```

Output
space group = No. 221
distance to the lowest polymorph of the same formula = 978.3 meV/atom
calculated total energy = -7.18 eV/atom
crystal system = cubic